# Ba2InSn5

A relaxed structure of Ba2InSn5 (PBE-GGA, Alexandria).

As for the density of states at the Fermi level: 6.85 states/eV/cell. The value obtained for the formation energy is -0.325 eV/atom. The calculation puts the calculated density at 6.57 g/cm3.

It has space group C2 (No. 5), with a = 12.822 Å, b = 6.919 Å, c = 6.482 Å, α = 90.00°, β = 120.24° and γ = 90.00°. The asymmetric unit holds Ba at (0.000, 0.000, 0.000), Ba at (0.000, 0.497, 0.000), In at (0.000, 0.742, 0.500), Sn at (0.000, 0.252, 0.500), Sn at (0.249, 0.749, 0.499) and Sn at (0.249, 0.749, 0.999).

=====

# MgAlRe2

A relaxed structure of MgAlRe2 (PBE-GGA, Alexandria).

As for the density of states at the Fermi level: 3.17 states/eV/cell. The value obtained for the formation energy is 0.108 eV/atom. The calculation puts the calculated density at 11.48 g/cm3.

It has space group Cmmm (No. 65), with a = 3.153 Å, b = 4.401 Å, c = 8.833 Å, α = 90.00°, β = 90.00° and γ = 90.00°. The asymmetric unit holds Mg at (0.000, 0.000, 0.000), Al at (0.000, 0.000, 0.500) and Re at (0.000, 0.500, 0.263).

=====

# Rb3GaB

A relaxed structure of Rb3GaB (PBE-GGA, Alexandria).

As for the density of states at the Fermi level: 6.84 states/eV/cell. The value obtained for the formation energy is 0.991 eV/atom. The calculation puts the calculated density at 2.25 g/cm3.

It has space group Pm-3m (No. 221), with a = 6.286 Å, b = 6.286 Å, c = 6.286 Å, α = 90.00°, β = 90.00° and γ = 90.00°. The asymmetric unit holds Rb at (0.000, 0.000, 0.500), Ga at (0.500, 0.500, 0.500) and B at (0.000, 0.000, 0.000).

=====

# Sm12CdRh6

A relaxed structure of Sm12CdRh6 (PBE-GGA, Alexandria).

As for the density of states at the Fermi level: 46.85 states/eV/cell. The value obtained for the formation energy is -0.474 eV/atom. The calculation puts the calculated density at 7.91 g/cm3.

It has space group R-3 (No. 148, hexagonal axes), with a = 14.2527 Å, b = 14.2527 Å, c = 9.0714 Å, α = 90.00°, β = 90.00° and γ = 120.00°. The asymmetric unit holds Sm at (0.0381, 0.2572, 0.4254), Sm at (0.0619, 0.1822, 0.8337), Cd at (0.0000, 0.0000, 0.5000) and Rh at (0.0751, 0.5015, 0.7910).

=====

# KAs2Pt

A relaxed structure of KAs2Pt (PBE-GGA, Alexandria).

As for the density of states at the Fermi level: 3.05 states/eV/cell. The value obtained for the formation energy is -0.225 eV/atom. The calculation puts the calculated density at 6.77 g/cm3.

It has space group Immm (No. 71), with a = 3.093 Å, b = 6.021 Å, c = 10.110 Å, α = 90.00°, β = 90.00° and γ = 90.00°. The asymmetric unit holds K at (0.000, 0.000, 0.000), As at (0.000, 0.500, 0.195) and Pt at (0.000, 0.000, 0.500).

=====

# Cu2Br

A relaxed structure of Cu2Br (PBE-GGA, Alexandria).

As for the energy relative to the elements, uncorrected: 0.28 eV per atom. As for the density of states at the Fermi level: 1.45 states/eV/cell. The calculation puts the calculated density at 6.55 g/cm3.

It has space group P-3m1 (No. 164), with a = 3.4014 Å, b = 3.4014 Å, c = 5.2354 Å, α = 90.00°, β = 90.00° and γ = 120.00°. The asymmetric unit holds Cu at (0.3333, 0.6667, 0.1498) and Br at (0.0000, 0.0000, 0.5000).

=====

# ScZn2Cd2

A relaxed structure of ScZn2Cd2 (PBE-GGA, Alexandria).

As for the density of states at the Fermi level: 22.40 states/eV/cell. The value obtained for the formation energy is 0.011 eV/atom. The calculation puts the calculated density at 6.74 g/cm3.

It has space group P4/mbm (No. 127), with a = 8.022 Å, b = 8.022 Å, c = 3.069 Å, α = 90.00°, β = 90.00° and γ = 90.00°. The asymmetric unit holds Sc at (0.000, 0.000, 0.000), Zn at (0.173, 0.327, 0.500) and Cd at (0.129, 0.629, 0.000).

=====

# Pm6Ge2H

A relaxed structure of Pm6Ge2H (PBE-GGA, Alexandria).

As for the density of states at the Fermi level: 27.56 states/eV/cell. The calculation puts the calculated density at 6.13 g/cm3. The value obtained for the energy is -0.3538 Ry/atom.

It has space group P4_2/mnm (No. 136), with a = 6.743 Å, b = 6.743 Å, c = 12.104 Å, α = 90.00°, β = 90.00° and γ = 90.00°. The asymmetric unit holds Pm at (0.204, 0.204, 0.153), Pm at (0.218, 0.218, 0.500), Ge at (0.000, 0.000, 0.329) and H at (0.000, 0.000, 0.000).